! ZrFeHgSb PBE optimized geometry; values from VASP
! raw total energy	-5.172	eV/atom
! SG	F-43m (216)
&SYSTEM
  ibrav = 0, nat = 4, ntyp = 4
/
ATOMIC_SPECIES
Zr 91.22 Zr.upf
Fe 55.84 Fe.upf
Hg 200.59 Hg.upf
Sb 121.76 Sb.upf
ATOMIC_POSITIONS crystal
Zr 0.000 0.000 0.000
Fe 0.500 0.500 0.500
Hg 0.750 0.750 0.750
Sb 0.250 0.250 0.250
CELL_PARAMETERS angstrom
0.000 3.366 3.366
3.366 0.000 3.366
3.366 3.366 0.000

=====

! ZrFeHgSb PBE optimized geometry; values from VASP
! raw total energy	-5.085	eV/atom
! SG	F-43m (216)
&SYSTEM
  ibrav = 0, nat = 4, ntyp = 4
/
ATOMIC_SPECIES
Zr 91.22 Zr.upf
Fe 55.84 Fe.upf
Hg 200.59 Hg.upf
Sb 121.76 Sb.upf
ATOMIC_POSITIONS crystal
Zr 0.000 0.000 0.000
Fe 0.750 0.750 0.750
Hg 0.250 0.250 0.250
Sb 0.500 0.500 0.500
CELL_PARAMETERS angstrom
0.000 3.429 3.429
3.429 0.000 3.429
3.429 3.429 0.000

=====

! ScFe2Hg PBE optimized geometry; values from VASP
! SG	F-43m (216)
! formation energy from the elements	0.12	eV per atom
&SYSTEM
  ibrav = 0, nat = 4, ntyp = 3
/
ATOMIC_SPECIES
Sc 44.96 Sc.upf
Fe 55.84 Fe.upf
Hg 200.59 Hg.upf
ATOMIC_POSITIONS crystal
Sc 0.000 0.000 0.000
Fe 0.250 0.250 0.250
Fe 0.500 0.500 0.500
Hg 0.750 0.750 0.750
CELL_PARAMETERS angstrom
0.000 3.183 3.183
3.183 0.000 3.183
3.183 3.183 0.000